[1]
Computed, not measured: a relaxed TcSnMo crystal at the PBE level of DFT.

Computed properties:
Spin magnetization (μB per formula unit): 0.00
Space-group type: Cm
Total DFT energy (no corrections) (eV/cell): -49.598
Excess energy over the best structure of this formula in the dataset (meV per atom): 22.8

Cell: 5.451 5.451 7.070 Å, 109.41 109.41 31.85°
Fractional positions:
Tc 0.000 0.000 0.000
Tc 0.669 0.669 0.311
Sn 0.369 0.369 0.634
Sn 0.716 0.716 0.935
Mo 0.088 0.088 0.570
Mo 0.417 0.417 0.251

[2]
Computed, not measured: a relaxed TcSn6Mo crystal at the PBE level of DFT.

Computed properties:
Spin magnetization (μB per formula unit): 0.00
Space-group type: C2/m
Total DFT energy (no corrections) (eV/cell): -42.202

Cell: 5.790 5.790 6.823 Å, 96.47 96.47 107.48°
Fractional positions:
Tc 0.000 0.000 0.000
Sn 0.052 0.400 0.262
Sn 0.260 0.260 0.765
Sn 0.400 0.052 0.262
Sn 0.600 0.948 0.738
Sn 0.740 0.740 0.235
Sn 0.948 0.600 0.738
Mo 0.500 0.500 0.500

[3]
Computed, not measured: a relaxed TcSn3Mo crystal at the PBE level of DFT.

Computed properties:
Spin magnetization (μB per formula unit): 4.95
Space-group type: Pm-3m
Total DFT energy (no corrections) (eV/cell): -28.305
Excess energy over the best structure of this formula in the dataset (meV per atom): 0.0

Cell: 5.145 5.145 5.145 Å, 90.00 90.00 90.00°
Fractional positions:
Tc 0.000 0.000 0.000
Sn 0.000 0.000 0.500
Sn 0.000 0.500 0.000
Sn 0.500 0.000 0.000
Mo 0.500 0.500 0.500

[4]
Computed, not measured: a relaxed Tc2SnMo crystal at the PBE level of DFT.

Computed properties:
Spin magnetization (μB per formula unit): 0.00
Space-group type: R-3m
Total DFT energy (no corrections) (eV/cell): -32.845

Cell: 9.437 9.437 9.437 Å, 17.85 17.85 17.85°
Fractional positions:
Tc 0.085 0.085 0.085
Tc 0.915 0.915 0.915
Sn 0.500 0.500 0.500
Mo 0.000 0.000 0.000

[5]
Computed, not measured: a relaxed TcSnMo crystal at the PBE level of DFT.

Computed properties:
Spin magnetization (μB per formula unit): 0.00
Space-group type: P3m1
Total DFT energy (no corrections) (eV/cell): -24.266
Excess energy over the best structure of this formula in the dataset (meV per atom): 200.6

Cell: 4.483 4.483 2.951 Å, 90.00 90.00 120.00°
Fractional positions:
Tc 0.000 0.000 0.000
Sn 0.667 0.333 0.243
Mo 0.333 0.667 0.674

[6]
Computed, not measured: a relaxed TcSnMo crystal at the PBE level of DFT.

Computed properties:
Spin magnetization (μB per formula unit): 0.00
Space-group type: Pm
Total DFT energy (no corrections) (eV/cell): -49.735
Excess energy over the best structure of this formula in the dataset (meV per atom): 0.0

Cell: 5.992 3.145 5.998 Å, 90.00 104.47 90.00°
Fractional positions:
Tc 0.000 0.000 0.000
Tc 0.008 0.000 0.513
Sn 0.326 0.500 0.329
Sn 0.419 0.000 0.867
Mo 0.753 0.500 0.687
Mo 0.765 0.500 0.197

[7]
Computed, not measured: a relaxed Tc2SnMo crystal at the PBE level of DFT.

Computed properties:
Spin magnetization (μB per formula unit): 0.00
Space-group type: P4/mmm
Total DFT energy (no corrections) (eV/cell): -35.281

Cell: 3.184 3.184 6.391 Å, 90.00 90.00 90.00°
Fractional positions:
Tc 0.000 0.000 0.237
Tc 0.000 0.000 0.763
Sn 0.500 0.500 0.500
Mo 0.500 0.500 0.000

[8]
Computed, not measured: a relaxed TcSnMo crystal at the PBE level of DFT.

Computed properties:
Spin magnetization (μB per formula unit): 0.00
Space-group type: C2/m
Total DFT energy (no corrections) (eV/cell): -49.450
Excess energy over the best structure of this formula in the dataset (meV per atom): 47.6

Cell: 4.354 4.354 7.210 Å, 107.60 107.60 60.09°
Fractional positions:
Tc 0.064 0.064 0.194
Tc 0.936 0.936 0.806
Sn 0.210 0.210 0.630
Sn 0.790 0.790 0.370
Mo 0.362 0.362 0.086
Mo 0.638 0.638 0.914